Here is a relaxed Pr3Nd12Ag crystal from Alexandria. Energies are from PBE.

abc: 5.148 5.148 20.618
angles: 90.00 90.00 90.00
Element x y z (fractional)
Nd 0.500 0.500 0.241
Nd 0.000 0.500 0.118
Nd 0.000 0.500 0.882
Nd 0.000 0.500 0.628
Nd 0.500 0.000 0.372
Nd 0.500 0.500 0.000
Nd 0.500 0.000 0.882
Pr 0.000 0.000 0.500
Nd 0.500 0.500 0.759
Nd 0.500 0.000 0.118
Pr 0.000 0.000 0.244
Nd 0.500 0.500 0.500
Ag 0.000 0.000 0.000
Pr 0.000 0.000 0.756
Nd 0.000 0.500 0.372
Nd 0.500 0.000 0.628

Electronic total energy, eV per atom: -4.63
Magnetic moment, μB per formula unit: 0.00

---

Here is a relaxed Pr3NdAg3 crystal from Alexandria. Energies are from PBE.

abc: 7.460 7.460 7.380
angles: 89.99 89.99 87.38
Element x y z (fractional)
Pr 0.316 0.684 0.000
Pr 0.730 0.730 0.500
Pr 0.270 0.270 0.500
Ag 0.000 0.500 0.759
Pr 0.684 0.316 0.000
Ag 0.500 0.000 0.241
Nd 0.194 0.194 0.000
Ag 0.500 0.000 0.759
Pr 0.261 0.739 0.500
Pr 0.739 0.261 0.500
Ag 0.000 0.500 0.241
Ag 0.000 0.000 0.702
Nd 0.806 0.806 0.000
Ag 0.000 0.000 0.298

Electronic total energy, eV per atom: -4.06
Excess energy over the best structure of this formula in the dataset, meV/atom: 3
Magnetic moment, μB per formula unit: 0.12

---

Here is a relaxed PrNd3Ag2 crystal from Alexandria. Energies are from PBE.

abc: 3.742 3.742 12.736
angles: 90.00 90.00 90.00
Element x y z (fractional)
Ag 0.500 0.500 0.149
Nd 0.000 0.000 0.000
Nd 0.000 0.000 0.296
Nd 0.000 0.000 0.704
Ag 0.500 0.500 0.851
Pr 0.500 0.500 0.500

Electronic total energy, eV per atom: -4.29
Magnetic moment, μB per formula unit: 0.03

---

Number 1: DOS(E_F) 22.27 states/eV/cell, calculated density 6.873 g/cm3. Number 2: DOS(E_F) 16.38 states/eV/cell, calculated density 7.209 g/cm3. Number 3: DOS(E_F) 8.02 states/eV/cell, calculated density 7.349 g/cm3.